1.
Material: TmUFe2
Method: DFT, PBE
State: optimized geometry

Cell lengths 6.3416, 4.8331, 9.3822 Å; angles 90.00, 90.00, 90.00 degrees
Space group Pnma (No. 62)
Symmetry-distinct sites (fractional):
Tm (0.1459, 0.2500, 0.1467)
U (0.0176, 0.2500, 0.6323)
Fe (0.1098, 0.2500, 0.8508)
Fe (0.2302, 0.2500, 0.4612)

Output
The density of states at the Fermi level comes out at 0.746 states/eV/atom. The calculation puts the formation energy at -17.0 kJ per mole of atoms. The raw total energy comes out at -133.6 eV per cell.

---

2.
Material: Ho4RhSe3
Method: DFT, PBE
State: optimized geometry

Cell lengths 8.3225, 11.5831, 3.9908 Å; angles 90.00, 90.00, 90.00 degrees
Space group Cmmm (No. 65)
Symmetry-distinct sites (fractional):
Ho (0.0000, 0.2399, 0.0000)
Ho (0.2280, 0.0000, 0.5000)
Rh (0.0000, 0.0000, 0.0000)
Se (0.0000, 0.5000, 0.0000)
Se (0.2500, 0.2500, 0.5000)

Output
The density of states at the Fermi level comes out at 0.738 states/eV/atom. The raw total energy comes out at -96.2 eV per cell. As for the formation energy without anion corrections: -1.496 eV/atom.